1.
Density functional theory data (meta-GGA SCAN) for a crystal of Te4PIr relaxed with PBEsol.

It has space group F-43m (No. 216), with a = 8.4214 Å, b = 8.4214 Å, c = 8.4214 Å, α = 90.00°, β = 90.00° and γ = 90.00°. The asymmetric unit holds Te at (0.1242, 0.1242, 0.1242), P at (0.0000, 0.0000, 0.5000) and Ir at (0.2500, 0.2500, 0.7500).

As for the theoretical density: 8.16 Mg/m³. The calculation puts the total moment at 8.12 μB/cell. The uncorrected formation energy comes out at 9.3 eV/f.u.

2.
Density functional theory data (meta-GGA SCAN) for a crystal of Te2PIr relaxed with PBEsol.

It has space group R-3m (No. 166, hexagonal axes), with a = 2.9730 Å, b = 2.9730 Å, c = 32.9903 Å, α = 90.00°, β = 90.00° and γ = 120.00°. The asymmetric unit holds Te at (0.0000, 0.0000, 0.0777), P at (0.0000, 0.0000, 0.5000) and Ir at (0.0000, 0.0000, 0.0000).

As for the theoretical density: 9.44 Mg/m³. The calculation puts the total moment at 0.00 μB/cell. The uncorrected formation energy comes out at 3.2 eV/f.u.

3.
Density functional theory data (meta-GGA SCAN) for a crystal of TePIr relaxed with PBEsol.

It has space group F-43m (No. 216), with a = 6.0574 Å, b = 6.0574 Å, c = 6.0574 Å, α = 90.00°, β = 90.00° and γ = 90.00°. The asymmetric unit holds Te at (0.0000, 0.0000, 0.0000), P at (0.2500, 0.2500, 0.2500) and Ir at (0.0000, 0.0000, 0.5000).

As for the theoretical density: 10.48 Mg/m³. The calculation puts the total moment at 0.00 μB/cell. The uncorrected formation energy comes out at 2.2 eV/f.u.